VASP calculation (PBE-GGA) on a relaxed structure of MgZr2Nb.

Properties
- symmetry = No. 123

a = 4.4569 Å, b = 4.4569 Å, c = 4.2350 Å
α = 90.00°, β = 90.00°, γ = 90.00°
With the nearest neighbours (Å) after each atom.
Fractional coordinates of all 4 atoms:
Mg 0.0000 0.0000 0.0000  8 Zr 3.07, 4 Nb 3.15
Zr 0.0000 0.5000 0.5000  4 Nb 3.07, 4 Mg 3.07, 4 Zr 3.15
Zr 0.5000 0.0000 0.5000  4 Nb 3.07, 4 Mg 3.07, 4 Zr 3.15
Nb 0.5000 0.5000 0.0000  8 Zr 3.07, 4 Mg 3.15

---

VASP calculation (PBE-GGA) on a relaxed structure of MgZr2Nb2.

Properties
- symmetry = No. 127

a = 7.5394 Å, b = 7.5394 Å, c = 3.7897 Å
α = 90.00°, β = 90.00°, γ = 90.00°
With the nearest neighbours (Å) after each atom.
Fractional coordinates of all 10 atoms:
Mg 0.0000 0.0000 0.0000  4 Nb 2.97
Mg 0.5000 0.5000 0.0000  4 Nb 2.97
Zr 0.1686 0.3314 0.5000  6 Nb 2.89-2.94
Zr 0.3314 0.8314 0.5000  6 Nb 2.89-2.94
Zr 0.6686 0.1686 0.5000  6 Nb 2.89-2.94
Zr 0.8314 0.6686 0.5000  6 Nb 2.89-2.94
Nb 0.1271 0.6271 0.0000  1 Nb 2.71, 6 Zr 2.89-2.94, 2 Mg 2.97
Nb 0.3729 0.1271 0.0000  1 Nb 2.71, 6 Zr 2.89-2.94, 2 Mg 2.97
Nb 0.6271 0.8729 0.0000  1 Nb 2.71, 6 Zr 2.89-2.94, 2 Mg 2.97
Nb 0.8729 0.3729 0.0000  1 Nb 2.71, 6 Zr 2.89-2.94, 2 Mg 2.97

---

VASP calculation (PBE-GGA) on a relaxed structure of MgZr2Nb.

Properties
- symmetry = No. 122

a = 10.6408 Å, b = 10.6408 Å, c = 10.6408 Å
α = 157.42°, β = 157.42°, γ = 32.15°
With the nearest neighbours (Å) after each atom.
Fractional coordinates of all 8 atoms:
Mg 0.0000 0.0000 0.0000  4 Nb 2.95, 4 Zr 2.97
Mg 0.7500 0.2500 0.5000  4 Nb 2.95, 4 Zr 2.97
Zr 0.1375 0.6250 0.0125  4 Zr 2.87-3.02, 2 Nb 2.93, 2 Mg 2.97
Zr 0.3750 0.3875 0.5125  4 Zr 2.87-3.02, 2 Nb 2.93, 2 Mg 2.97
Zr 0.6125 0.1250 0.9875  4 Zr 2.87-3.02, 2 Nb 2.93, 2 Mg 2.97
Zr 0.8750 0.8625 0.4875  4 Zr 2.87-3.02, 2 Nb 2.93, 2 Mg 2.97
Nb 0.2500 0.7500 0.5000  4 Zr 2.93, 4 Mg 2.95
Nb 0.5000 0.5000 0.0000  4 Zr 2.93, 4 Mg 2.95

---

VASP calculation (PBE-GGA) on a relaxed structure of MgZr2Nb.

Properties
- symmetry = No. 166

a = 10.2655 Å, b = 10.2655 Å, c = 10.2655 Å
α = 17.82°, β = 17.82°, γ = 17.82°
With the nearest neighbours (Å) after each atom.
Fractional coordinates of all 4 atoms:
Mg 0.0000 0.0000 0.0000  6 Mg 3.18, 6 Zr 3.24
Zr 0.2452 0.2452 0.2452  3 Nb 3.01, 6 Zr 3.18, 3 Mg 3.24
Zr 0.7548 0.7548 0.7548  3 Nb 3.01, 6 Zr 3.18, 3 Mg 3.24
Nb 0.5000 0.5000 0.5000  6 Zr 3.01, 6 Nb 3.18

---

Number 1: energy of formation 0.101 eV/atom. Number 2: energy of formation 0.189 eV/atom. Number 3: energy of formation 0.570 eV/atom. Number 4: energy of formation 0.152 eV/atom.